Computed, not measured: a relaxed structure of LiAg2Hg at the PBE-GGA level of DFT.

Results
The total moment is 0.00 μB/f.u. For the volume, the calculation gives 73.9 Å³ per cell. The space group is No. 10. Its total energy is -2.0682 eV/atom.

a = 4.7958 Å, b = 2.8997 Å, c = 5.3336 Å
α = 84.77°, β = 90.00°, γ = 90.00°
Fractional positions:
Hg: 0.5000 0.2500 0.2500
Ag: 0.0000 0.9776 0.9856
Ag: 0.0000 0.5224 0.5144
Li: 0.5000 0.7500 0.7500